No. 1
The following is a DFT calculation (PBE) of an optimized crystal structure of SrNbI3.

The value obtained for the excess energy over the best structure of this formula in the dataset is 2.13 eV/f.u. As for the energy relative to the elements, uncorrected: 0.54 eV per formula unit. Its crystal system is cubic. The calculation puts the total energy at -0.2332 Ry/atom. As for the volume: 250 Å³/f.u. As for the total magnetic moment: 4.000 Bohr magnetons per cell.

It has space group Pm-3m (No. 221), with a = 6.3006 Å, b = 6.3006 Å, c = 6.3006 Å, α = 90.00°, β = 90.00° and γ = 90.00°. The inequivalent atoms are Sr at (0.0000, 0.0000, 0.0000), Nb at (0.5000, 0.5000, 0.5000) and I at (0.0000, 0.0000, 0.5000).

=====

No. 2
The following is a DFT calculation (PBE) of an optimized crystal structure of SrMgMo.

The value obtained for the excess energy over the best structure of this formula in the dataset is 0.17 eV/f.u. Its crystal system is orthorhombic. The calculation puts the formation enthalpy at 0 K at 0.7933 eV per atom. The calculation puts the total energy at -0.2873 Ry/atom. As for the volume: 74 Å³/f.u. As for the total magnetic moment: 0.004 Bohr magnetons per cell.

It has space group Imm2 (No. 44), with a = 3.0884 Å, b = 4.1488 Å, c = 11.5146 Å, α = 90.00°, β = 90.00° and γ = 90.00°. The inequivalent atoms are Sr at (0.0000, 0.0000, 0.0000), Mg at (0.0000, 0.0000, 0.2923) and Mo at (0.0000, 0.0000, 0.6899).

=====

Look up the excess energy over the best structure of this formula in the dataset of the second one. 0.17 eV/f.u.